Computed, not measured: ZrTiBi3 after structural relaxation at the PBE level of DFT. Values from VASP.

Results
- Symmetry: P2_1/m, No. 11
- Polymorph energy (0 for the lowest one): 0.00 eV/f.u.

```
&SYSTEM
  ibrav = 0, nat = 10, ntyp = 3
/
ATOMIC_SPECIES
Zr 91.22 Zr.upf
Bi 208.98 Bi.upf
Ti 47.87 Ti.upf
CELL_PARAMETERS angstrom
3.940 -0.007 0.000
-1.975 6.772 0.000
0.000 0.000 10.509
ATOMIC_POSITIONS crystal
Zr 0.750 0.999 0.750
Bi 0.152 0.807 0.981
Ti 0.930 0.363 0.250
Bi 0.848 0.193 0.481
Bi 0.579 0.660 0.250
Bi 0.152 0.807 0.519
Bi 0.421 0.340 0.750
Zr 0.250 0.001 0.250
Bi 0.848 0.193 0.019
Ti 0.070 0.637 0.750
```

Computed, not measured: Zr2TiBi after structural relaxation at the PBE level of DFT. Values from VASP.

Results
- Symmetry: P4/mmm, No. 123
- E: -7.36 eV per atom

```
&SYSTEM
  ibrav = 0, nat = 4, ntyp = 3
/
ATOMIC_SPECIES
Zr 91.22 Zr.upf
Ti 47.87 Ti.upf
Bi 208.98 Bi.upf
CELL_PARAMETERS angstrom
-2.876 3.742 -0.381
-3.079 -2.159 2.041
1.440 1.487 3.745
ATOMIC_POSITIONS crystal
Zr 0.000 0.500 0.000
Zr 0.000 0.000 0.500
Ti 0.500 0.500 0.500
Bi 0.500 0.000 0.000
```

Computed, not measured: Zr6TiBi3 after structural relaxation at the PBE level of DFT. Values from VASP.

Results
- Symmetry: Cmc2_1, No. 36
- E: -7.26 eV per atom

```
&SYSTEM
  ibrav = 0, nat = 20, ntyp = 3
/
ATOMIC_SPECIES
Bi 208.98 Bi.upf
Zr 91.22 Zr.upf
Ti 47.87 Ti.upf
CELL_PARAMETERS angstrom
7.671 0.000 0.000
0.000 7.840 0.950
0.000 -0.823 7.854
ATOMIC_POSITIONS crystal
Bi 0.403 0.864 0.844
Zr 0.654 0.620 0.686
Zr 0.890 0.009 0.515
Zr 0.390 0.515 0.009
Ti 0.430 0.633 0.367
Bi 0.367 0.363 0.637
Bi 0.903 0.844 0.864
Bi 0.403 0.156 0.136
Ti 0.930 0.367 0.633
Zr 0.668 0.179 0.821
Zr 0.154 0.686 0.620
Zr 0.390 0.991 0.485
Zr 0.168 0.821 0.179
Bi 0.867 0.637 0.363
Zr 0.654 0.314 0.380
Zr 0.126 0.155 0.845
Zr 0.626 0.845 0.155
Bi 0.903 0.136 0.156
Zr 0.154 0.380 0.314
Zr 0.890 0.485 0.991
```

It is found that the spin magnetization values, taken in the order of the records, are 0.0, 0.0, 0.0 μB/cell.
It is found that the mass density values, taken in the order of the records, are 9.08, 8.42, 8.49 g cm⁻³.